## A
VASP calculation (GGA-PBE) on InSn3Pb after structural relaxation.

```
5
Lattice="-2.6248 -4.8715 -0.9987 2.7860 -2.3760 4.2675 -4.1191 1.4972 3.5227" Properties=species:S:1:pos:R:3 pbc="T T T"
Sn -2.0595 0.7486 1.7614
Pb -1.9790 -2.8751 3.3957
Sn 1.3930 -1.1880 2.1337
Sn -1.3124 -2.4357 -0.4993
In 0.0000 0.0000 0.0000
```

magnetic moment = 0.0 μB per cell
SG = Pm-3m

## B
VASP calculation (GGA-PBE) on InSn3Pb after structural relaxation.

```
5
Lattice="5.8262 0.0000 0.0000 0.0000 5.8262 0.0000 0.0000 0.0000 5.8262" Properties=species:S:1:pos:R:3 pbc="T T T"
Sn 2.9131 0.0000 0.0000
Sn 0.0000 0.0000 2.9131
In 2.9131 2.9131 2.9131
Sn 0.0000 2.9131 0.0000
Pb 0.0000 0.0000 0.0000
```

magnetic moment = 0.0 μB per cell
SG = Pm-3m

Relative to the most stable one, in eV/atom, the structures come out at A 0.000; B 0.161.

## A
VASP calculation (GGA-PBE) on In2SnPb8 after structural relaxation.

```
11
Lattice="6.1155 0.4801 -0.6092 0.3317 6.1438 -0.3447 0.9167 1.9603 8.7948" Properties=species:S:1:pos:R:3 pbc="T T T"
In 1.9806 4.8782 3.6578
Pb 0.5996 4.6559 0.5308
Pb 2.6519 2.0174 5.4024
Pb 6.2520 6.9289 5.5533
Pb 1.1119 1.6553 2.2876
Pb 3.8730 3.4228 1.0921
Pb 3.4909 5.1613 6.7489
Pb 6.7643 3.9283 7.3102
In 5.3833 3.7060 4.1832
Pb 4.7120 6.5668 2.4385
Sn 3.0577 0.2400 -0.3046
```

magnetic moment = 0.0 μB per cell
SG = P-1

## B
VASP calculation (GGA-PBE) on In2SnPb8 after structural relaxation.

```
11
Lattice="-3.6642 3.0213 -3.4187 -0.8608 -5.2071 -6.7318 -6.8260 -5.1474 -0.2855" Properties=species:S:1:pos:R:3 pbc="T T T"
Pb -6.3482 -5.2524 -3.4468
Pb -5.0028 -2.0808 -6.9892
Pb -4.0250 -2.7528 -3.6991
In -8.6052 -7.5630 -7.8929
Sn 0.0000 0.0000 0.0000
Pb -3.9764 -5.2761 -6.0099
Pb -7.3746 -2.0571 -4.4261
In -2.7459 0.2297 -2.5431
Pb -5.1985 0.4448 -4.8147
Pb -6.1525 -7.7780 -5.6213
Pb -7.3260 -4.5804 -6.7369
```

magnetic moment = 0.0 μB per cell
SG = C2/m

Relative to the most stable one, in eV/atom, the structures come out at A 0.000; B 0.101.